No. 1
An optimized crystal structure of Cs2SrN. Source: Alexandria, functional PBE.

Cell and atoms, written as CIF:
```
data_Cs2SrN
_chemical_formula_sum 'Cs8 Sr4 N4'
_space_group_name_H-M_alt 'F m -3 m'
_space_group_IT_number 225
_space_group_name_Hall '-F 4 2 3'
_cell_length_a 8.597
_cell_length_b 8.597
_cell_length_c 8.597
_cell_angle_alpha 90.00
_cell_angle_beta 90.00
_cell_angle_gamma 90.00
loop_
_atom_site_label
_atom_site_fract_x
_atom_site_fract_y
_atom_site_fract_z
Cs1 0.250 0.250 0.250
Sr1 0.000 0.000 0.000
N1 0.000 0.000 0.500
```

No. 2
# HoNiPd (PBE, optimized geometry)
data_HoNiPd
_chemical_formula_sum 'Ho1 Ni1 Pd1'
_space_group_name_H-M_alt 'P -6 m 2'
_space_group_IT_number 187
_space_group_name_Hall 'P -6 2'
_cell_length_a 4.2334
_cell_length_b 4.2334
_cell_length_c 3.6308
_cell_angle_alpha 90.00
_cell_angle_beta 90.00
_cell_angle_gamma 120.00
loop_
_atom_site_label
_atom_site_fract_x
_atom_site_fract_y
_atom_site_fract_z
Ho1 0.0000 0.0000 0.0000
Ni1 0.6667 0.3333 0.5000
Pd1 0.3333 0.6667 0.5000
# - energy of formation from the pure elements (eV per atom) = -0.565

no.,DFT total energy (eV/cell)
1,-27.111
2,-17.248